Compound: Pm2Tm4Pu
Source: the Alexandria database
Functional: GGA-PBE
Structure: relaxed

Cell lengths 3.5589, 3.5589, 19.9205 Å; angles 95.13, 95.13, 59.99 degrees
Sites, in units of the cell vectors:
Pm (0.0000, 0.0000, 0.0000)
Pm (0.0966, 0.0966, 0.2916)
Tm (0.1924, 0.1924, 0.5775)
Tm (0.2849, 0.2849, 0.8543)
Tm (0.7147, 0.7147, 0.1450)
Tm (0.8123, 0.8123, 0.4380)
Pu (0.9057, 0.9057, 0.7158)

**DFT formation energy**: 0.056 eV per atom

=====

Compound: Pr2MgRhO5
Source: the Alexandria database
Functional: GGA-PBE
Structure: relaxed

Cell lengths 6.7917, 6.7917, 5.7674 Å; angles 90.00, 90.00, 90.00 degrees
Sites, in units of the cell vectors:
Pr (0.1717, 0.3283, 0.0000)
Pr (0.3283, 0.8283, 0.0000)
Pr (0.6717, 0.1717, 0.0000)
Pr (0.8283, 0.6717, 0.0000)
Mg (0.0000, 0.0000, 0.5000)
Mg (0.5000, 0.5000, 0.5000)
Rh (0.0000, 0.5000, 0.5000)
Rh (0.5000, 0.0000, 0.5000)
O (0.0000, 0.0000, 0.0000)
O (0.1452, 0.6452, 0.2564)
O (0.1452, 0.6452, 0.7436)
O (0.3548, 0.1452, 0.2564)
O (0.3548, 0.1452, 0.7436)
O (0.5000, 0.5000, 0.0000)
O (0.6452, 0.8548, 0.2564)
O (0.6452, 0.8548, 0.7436)
O (0.8548, 0.3548, 0.2564)
O (0.8548, 0.3548, 0.7436)

**E_form (uncorrected)**: -2090 meV per atom

=====

Compound: GeOsN
Source: the Alexandria database
Functional: GGA-PBE
Structure: relaxed

Cell lengths 9.3671, 4.5567, 5.8464 Å; angles 90.00, 90.00, 90.00 degrees
Sites, in units of the cell vectors:
Ge (0.0000, 0.2048, 0.0000)
Ge (0.1568, 0.6661, 0.1551)
Ge (0.3432, 0.3339, 0.6551)
Ge (0.5000, 0.7952, 0.5000)
Ge (0.6568, 0.3339, 0.6551)
Ge (0.8432, 0.6661, 0.1551)
Os (0.0000, 0.7256, 0.7491)
Os (0.1525, 0.1692, 0.3691)
Os (0.3475, 0.8308, 0.8691)
Os (0.5000, 0.2744, 0.2491)
Os (0.6525, 0.8308, 0.8691)
Os (0.8475, 0.1692, 0.3691)
N (0.0000, 0.4056, 0.5292)
N (0.1755, 0.9178, 0.6599)
N (0.3245, 0.0822, 0.1599)
N (0.5000, 0.5944, 0.0292)
N (0.6755, 0.0822, 0.1599)
N (0.8245, 0.9178, 0.6599)

**E_form (uncorrected)**: 491 meV per atom

=====

Compound: La5Pm3Nd4
Source: the Alexandria database
Functional: GGA-PBE
Structure: relaxed

Cell lengths 6.4078, 7.3778, 9.0808 Å; angles 90.09, 90.13, 90.12 degrees
Sites, in units of the cell vectors:
La (0.0000, 0.0000, 0.0000)
La (0.3328, 0.5001, 0.3338)
La (0.4996, 0.2504, 0.9997)
La (0.5004, 0.7496, 0.0003)
La (0.6672, 0.4999, 0.6662)
Pm (0.0000, 0.5000, 0.0000)
Pm (0.1664, 0.2498, 0.6661)
Pm (0.8336, 0.7502, 0.3339)
Nd (0.1662, 0.7510, 0.6658)
Nd (0.3347, 0.9995, 0.3348)
Nd (0.6653, 0.0005, 0.6652)
Nd (0.8338, 0.2490, 0.3342)

**DFT formation energy**: 0.015 eV per atom

=====

Compound: Pm2Re2NiN6
Source: the Alexandria database
Functional: GGA-PBE
Structure: relaxed

Cell lengths 6.1934, 6.1934, 6.1934 Å; angles 56.94, 56.94, 56.94 degrees
Sites, in units of the cell vectors:
Pm (0.2027, 0.2027, 0.2027)
Pm (0.7973, 0.7973, 0.7973)
Re (0.4122, 0.4122, 0.4122)
Re (0.5878, 0.5878, 0.5878)
Ni (0.0000, 0.0000, 0.0000)
N (0.2273, 0.7617, 0.7617)
N (0.2383, 0.2383, 0.7727)
N (0.2383, 0.7727, 0.2383)
N (0.7617, 0.2273, 0.7617)
N (0.7617, 0.7617, 0.2273)
N (0.7727, 0.2383, 0.2383)

**E_form (uncorrected)**: -192 meV per atom

=====

Compound: Ac2Ga3Pt5
Source: the Alexandria database
Functional: GGA-PBE
Structure: relaxed

Cell lengths 8.8160, 8.8160, 8.8160 Å; angles 109.92, 85.29, 137.86 degrees
Sites, in units of the cell vectors:
Ac (0.1329, 0.2445, 0.3774)
Ac (0.3671, 0.7445, 0.1116)
Ac (0.6329, 0.2555, 0.8884)
Ac (0.8671, 0.7555, 0.6226)
Ga (0.1161, 0.6288, 0.7449)
Ga (0.2500, 0.2500, 0.0000)
Ga (0.3839, 0.1288, 0.5127)
Ga (0.6161, 0.8712, 0.4873)
Ga (0.7500, 0.7500, 0.0000)
Ga (0.8839, 0.3712, 0.2551)
Pt (0.0190, 0.7500, 0.2690)
Pt (0.1191, 0.8743, 0.9935)
Pt (0.2500, 0.7500, 0.5000)
Pt (0.3809, 0.3743, 0.7552)
Pt (0.4810, 0.7500, 0.7310)
Pt (0.5190, 0.2500, 0.2690)
Pt (0.6191, 0.6257, 0.2448)
Pt (0.7500, 0.2500, 0.5000)
Pt (0.8809, 0.1257, 0.0065)
Pt (0.9810, 0.2500, 0.7310)

**DFT formation energy**: -0.947 eV per atom

=====

Compound: LiHg3Se
Source: the Alexandria database
Functional: GGA-PBE
Structure: relaxed

Cell lengths 5.1274, 5.1274, 5.1274 Å; angles 90.00, 90.00, 90.00 degrees
Sites, in units of the cell vectors:
Li (0.0000, 0.0000, 0.0000)
Hg (0.0000, 0.0000, 0.5000)
Hg (0.0000, 0.5000, 0.0000)
Hg (0.5000, 0.0000, 0.0000)
Se (0.5000, 0.5000, 0.5000)

**E_form (uncorrected)**: 155 meV per atom

=====

Compound: Ce2ErH
Source: the Alexandria database
Functional: GGA-PBE
Structure: relaxed

Cell lengths 9.1048, 9.1048, 9.1048 Å; angles 21.76, 21.76, 21.76 degrees
Sites, in units of the cell vectors:
Ce (0.2234, 0.2234, 0.2234)
Ce (0.7766, 0.7766, 0.7766)
Er (0.0000, 0.0000, 0.0000)
H (0.5000, 0.5000, 0.5000)

**Uncorrected energy**: -20.10 eV per formula unit

=====

Compound: NaYRe2
Source: the Alexandria database
Functional: GGA-PBE
Structure: relaxed

Cell lengths 6.1602, 6.1602, 6.1602 Å; angles 99.94, 99.94, 130.91 degrees
Sites, in units of the cell vectors:
Na (0.0000, 0.0000, 0.0000)
Na (0.7500, 0.2500, 0.5000)
Y (0.2500, 0.7500, 0.5000)
Y (0.5000, 0.5000, 0.0000)
Re (0.1010, 0.6250, 0.9760)
Re (0.3750, 0.3510, 0.4760)
Re (0.6490, 0.1250, 0.0240)
Re (0.8750, 0.8990, 0.5240)

**DFT formation energy**: 1.347 eV per atom

=====

Compound: CeAlGa2Pd5
Source: the Alexandria database
Functional: GGA-PBE
Structure: relaxed

Cell lengths 4.7401, 4.7401, 7.3303 Å; angles 90.00, 90.00, 90.00 degrees
Sites, in units of the cell vectors:
Ce (0.0000, 0.0000, 0.0000)
Al (0.0000, 0.0000, 0.5000)
Ga (0.5000, 0.5000, 0.3362)
Ga (0.5000, 0.5000, 0.6638)
Pd (0.0000, 0.5000, 0.2826)
Pd (0.0000, 0.5000, 0.7174)
Pd (0.5000, 0.0000, 0.2826)
Pd (0.5000, 0.0000, 0.7174)
Pd (0.5000, 0.5000, 0.0000)

**DFT formation energy**: -0.447 eV per atom

=====

Compound: C3Se2
Source: the Alexandria database
Functional: GGA-PBE
Structure: relaxed

Cell lengths 10.2392, 10.2392, 10.2392 Å; angles 15.59, 15.59, 15.59 degrees
Sites, in units of the cell vectors:
C (0.0000, 0.0000, 0.0000)
C (0.1667, 0.1667, 0.1667)
C (0.8333, 0.8333, 0.8333)
Se (0.3801, 0.3801, 0.3801)
Se (0.6199, 0.6199, 0.6199)

**E_form (uncorrected)**: 1351 meV per atom

=====

Compound: BiBIr3
Source: the Alexandria database
Functional: GGA-PBE
Structure: relaxed

Cell lengths 4.2857, 4.2857, 4.2857 Å; angles 90.00, 90.00, 90.00 degrees
Sites, in units of the cell vectors:
Bi (0.0000, 0.0000, 0.0000)
B (0.5000, 0.5000, 0.5000)
Ir (0.0000, 0.5000, 0.5000)
Ir (0.5000, 0.0000, 0.5000)
Ir (0.5000, 0.5000, 0.0000)

**DFT formation energy**: 0.237 eV per atom